Entry from Alexandria: a relaxed structure of BaFe2O4 (GGA+U).

Summary:
- E above lowest polymorph: 0.0 meV per atom
- Total energy: -6.59 eV/atom
- Crystal system: orthorhombic

Lattice parameters (Å, degrees): 10.5968 10.5968 5.5038 90.00 90.00 132.07
With the nearest neighbours (Å) after each atom.
Element x y z (fractional)
Ba  0.1191  0.8809  0.5000  6 O 2.71-3.02
Ba  0.3696  0.6304  0.9667  7 O 2.71-3.01
Ba  0.6304  0.3696  0.4667  7 O 2.71-3.01
Ba  0.8809  0.1191  0.0000  6 O 2.71-3.02
Fe  0.0012  0.5816  0.9724  4 O 1.89-1.91
Fe  0.1764  0.2643  0.4935  4 O 1.89-1.91
Fe  0.2643  0.1764  0.9935  4 O 1.89-1.91
Fe  0.4184  0.9988  0.9724  4 O 1.89-1.91
Fe  0.5816  0.0012  0.4724  4 O 1.89-1.91
Fe  0.7357  0.8236  0.4935  4 O 1.89-1.91
Fe  0.8236  0.7357  0.9935  4 O 1.89-1.91
Fe  0.9988  0.4184  0.4724  4 O 1.89-1.91
O  0.0038  0.4212  0.8201  2 Fe 1.91
O  0.0505  0.9495  0.9794  2 Fe 1.90
O  0.1671  0.4204  0.3515  2 Fe 1.89
O  0.2175  0.7825  0.8660  2 Fe 1.89
O  0.2404  0.3177  0.8281  2 Fe 1.91
O  0.3177  0.2404  0.3281  2 Fe 1.91
O  0.4204  0.1671  0.8515  2 Fe 1.89
O  0.4212  0.0038  0.3201  2 Fe 1.91
O  0.5788  0.9962  0.8201  2 Fe 1.91
O  0.5796  0.8329  0.3515  2 Fe 1.89
O  0.6823  0.7596  0.8281  2 Fe 1.91
O  0.7596  0.6823  0.3281  2 Fe 1.91
O  0.7825  0.2175  0.3660  2 Fe 1.89
O  0.8329  0.5796  0.8515  2 Fe 1.89
O  0.9495  0.0505  0.4794  2 Fe 1.90
O  0.9962  0.5788  0.3201  2 Fe 1.91